This record from Alexandria describes an optimized crystal structure of SiSb2Cl. The functional is PBEsol.

crystal system: monoclinic
magnetization: 0.00 μB per atom
final energy: -4.213 eV/atom
uncorrected formation energy: 0.0045 eV per atom
SG: C2/m

Cell and atoms, written as POSCAR:
```
SiSb2Cl
1.0
3.834 -1.923 0.000
3.834 1.923 0.000
-1.730 0.000 6.643
Si Sb Cl
1 2 1
Direct
0.000 0.000 0.000
0.267 0.267 0.803
0.733 0.733 0.197
0.500 0.500 0.500
```